The following is a PBE calculation of a geometry-optimized Na3Fe2N2 structure, from Alexandria via LeMat-Bulk.

Structure (POSCAR):
```
Na3Fe2N2
1.0
3.182 0.000 0.000
1.558 5.424 0.000
1.561 1.985 6.326
Na Fe N
3 2 2
Direct
0.000 0.000 0.000
0.388 0.773 0.445
0.612 0.227 0.555
0.209 0.443 0.139
0.791 0.557 0.861
0.370 0.397 0.858
0.630 0.603 0.142
```

Properties
The uncorrected formation energy is 0.04 eV per atom.

The following is a PBE calculation of a geometry-optimized Cs2NaTl4Au3 structure, from Alexandria via LeMat-Bulk.

Structure (POSCAR):
```
Cs2NaTl4Au3
1.0
5.327 0.000 0.000
0.000 5.327 0.000
0.000 0.000 11.673
Cs Na Tl Au
2 1 4 3
Direct
0.000 0.500 0.248
0.500 0.000 0.752
0.000 0.000 0.500
0.000 0.000 0.000
0.000 0.500 0.632
0.500 0.000 0.368
0.500 0.500 0.000
0.000 0.500 0.881
0.500 0.000 0.119
0.500 0.500 0.500
```

Properties
The formation energy comes out at -0.13 eV per atom.

The following is a PBE calculation of a geometry-optimized AcPmAsPt structure, from Alexandria via LeMat-Bulk.

Structure (POSCAR):
```
AcPmAsPt
1.0
0.000 3.735 3.735
3.735 0.000 3.735
3.735 3.735 0.000
Ac Pm As Pt
1 1 1 1
Direct
0.000 0.000 0.000
0.500 0.500 0.500
0.250 0.250 0.250
0.750 0.750 0.750
```

Properties
The formation energy comes out at -0.98 eV per atom.

no.,total energy (eV per atom)
1,-5.32
2,-2.36
3,-5.86